The following is a GGA-PBE calculation of a relaxed structure of TaInNi2, from Alexandria.

abc: 4.845 4.845 4.629
angles: 77.53 77.53 34.84
Atoms (fractional coordinates):
1 Ta 0.489 0.489 0.559
2 Ni 0.740 0.740 0.718
3 Ni 0.011 0.011 0.022
4 In 0.261 0.261 0.200

Properties
mass density: 11.3 Mg/m³
electronic total energy: -6.55 eV per atom
crystal system: monoclinic